1.
{
  "formula": "Ca2HoZn3",
  "functional": "PBE",
  "state": "relaxed",
  "energy_ev_per_atom": -2.34,
  "density_g_cm3": 5.1,
  "e_form_kj_per_mol_atoms": -27,
  "dos_ef_per_ev_cell": 8.6,
  "sg": "No. 65",
  "magnetic_moment_mub_per_fu": 0.00,
  "lattice": [[5.153, 0.000, 0.021], [2.577, 7.676, 0.010], [-0.028, 0.000, 7.262]],
  "species": ["Ca", "Ca", "Ca", "Ca", "Zn", "Zn", "Zn", "Zn", "Zn", "Zn", "Ho", "Ho"],
  "frac_coords": [[0.000, 0.000, 0.000], [0.334, 0.333, 0.500], [0.000, 0.000, 0.500], [0.666, 0.667, 0.500], [0.499, 0.000, 0.236], [0.501, 0.000, 0.764], [0.170, 0.660, 0.232], [0.830, 0.340, 0.768], [0.170, 0.660, 0.768], [0.830, 0.340, 0.232], [0.666, 0.667, 0.000], [0.334, 0.333, 0.000]]
}

---

2.
{
  "formula": "LaTmIn",
  "functional": "PBE",
  "state": "relaxed",
  "energy_ev_per_atom": -4.33,
  "density_g_cm3": 7.7,
  "e_form_kj_per_mol_atoms": -28,
  "dos_ef_per_ev_cell": 2.5,
  "sg": "No. 107",
  "magnetic_moment_mub_per_fu": 0.00,
  "lattice": [[-0.441, -2.398, -2.685], [3.599, -0.238, -0.378], [-1.437, -3.881, 6.153]],
  "species": ["La", "Tm", "In"],
  "frac_coords": [[0.608, 0.608, 0.215], [0.301, 0.301, 0.602], [0.941, 0.941, 0.883]]
}

---

3.
{
  "formula": "FeSn2SbTe",
  "functional": "PBE",
  "state": "relaxed",
  "energy_ev_per_atom": -4.69,
  "density_g_cm3": 7.2,
  "dos_ef_per_ev_cell": 2.7,
  "sg": "No. 123",
  "magnetic_moment_mub_per_fu": 0.40,
  "e_form_raw_ev_per_atom": 0.0552,
  "lattice": [[5.037, 0.000, 0.000], [0.000, 5.037, 0.000], [0.000, 0.000, 4.914]],
  "species": ["Fe", "Sb", "Sn", "Sn", "Te"],
  "frac_coords": [[0.000, 0.000, 0.000], [0.000, 0.000, 0.500], [0.000, 0.500, 0.000], [0.500, 0.000, 0.000], [0.500, 0.500, 0.500]]
}

---

Repeat the second record exactly.
{
  "formula": "LaTmIn",
  "functional": "PBE",
  "state": "relaxed",
  "energy_ev_per_atom": -4.33,
  "density_g_cm3": 7.7,
  "e_form_kj_per_mol_atoms": -28,
  "dos_ef_per_ev_cell": 2.5,
  "sg": "No. 107",
  "magnetic_moment_mub_per_fu": 0.00,
  "lattice": [[-0.441, -2.398, -2.685], [3.599, -0.238, -0.378], [-1.437, -3.881, 6.153]],
  "species": ["La", "Tm", "In"],
  "frac_coords": [[0.608, 0.608, 0.215], [0.301, 0.301, 0.602], [0.941, 0.941, 0.883]]
}

---

- Number 2 is which compound?
  LaTmIn